# 1
LiMgAl2 | GGA-PBEsol | optimized geometry

SG: P2/m, No. 10
ΔH_f (0 K): -0.001 eV per atom

Cell: 4.936 3.051 4.964 Å, 90.00 108.25 90.00°
Fractional positions:
1 Li 0.000 0.000 0.000
2 Mg 0.000 0.500 0.500
3 Al 0.500 0.000 0.500
4 Al 0.500 0.500 0.000

=====

# 2
LiMgAl2 | GGA-PBEsol | optimized geometry

SG: C2/m, No. 12
ΔH_f (0 K): -0.005 eV per atom

Cell: 5.005 5.005 5.120 Å, 99.88 99.88 34.16°
Fractional positions:
1 Li 0.000 0.000 0.000
2 Mg 0.500 0.500 0.500
3 Al 0.251 0.251 0.761
4 Al 0.749 0.749 0.239

=====

# 3
LiMgAl2 | GGA-PBEsol | optimized geometry

SG: Cmmm, No. 65
ΔH_f (0 K): -0.052 eV per atom

Cell: 5.148 5.148 2.879 Å, 90.00 90.00 112.86°
Fractional positions:
1 Li 0.000 0.000 0.000
2 Mg 0.500 0.500 0.000
3 Al 0.000 0.500 0.500
4 Al 0.500 0.000 0.500

=====

# 4
LiMgAl2 | GGA-PBEsol | optimized geometry

SG: I-4m2, No. 119
ΔH_f (0 K): -0.041 eV per atom

Cell: 4.953 4.953 4.953 Å, 129.68 129.68 73.92°
Fractional positions:
1 Li 0.000 0.000 0.000
2 Mg 0.750 0.250 0.500
3 Al 0.250 0.750 0.500
4 Al 0.500 0.500 0.000

=====

# 5
LiMgAl2 | GGA-PBEsol | optimized geometry

SG: Pmm2, No. 25
ΔH_f (0 K): -0.049 eV per atom

Cell: 2.960 4.714 5.043 Å, 90.00 90.00 90.00°
Fractional positions:
1 Li 0.000 0.000 0.000
2 Mg 0.000 0.500 0.323
3 Al 0.500 0.000 0.517
4 Al 0.500 0.500 0.821

=====

# 6
Li2MgAl | GGA-PBEsol | optimized geometry

SG: P4/mmm, No. 123
ΔH_f (0 K): -0.074 eV per atom

Cell: 3.032 3.032 7.508 Å, 90.00 90.00 90.00°
Fractional positions:
1 Li 0.000 0.000 0.229
2 Li 0.000 0.000 0.771
3 Mg 0.500 0.500 0.500
4 Al 0.500 0.500 0.000

=====

# 7
LiMgAl2 | GGA-PBEsol | optimized geometry

SG: P4/mmm, No. 123
ΔH_f (0 K): -0.067 eV per atom

Cell: 4.030 4.030 4.304 Å, 90.00 90.00 90.00°
Fractional positions:
1 Li 0.000 0.000 0.000
2 Mg 0.500 0.500 0.000
3 Al 0.000 0.500 0.500
4 Al 0.500 0.000 0.500

=====

# 8
LiMgAl | GGA-PBEsol | optimized geometry

SG: F-43m, No. 216
ΔH_f (0 K): 0.318 eV per atom
Distance to the lowest polymorph of the same formula: 375.2 meV/atom

Cell: 4.595 4.595 4.595 Å, 60.00 60.00 60.00°
Fractional positions:
1 Li 0.000 0.000 0.000
2 Mg 0.750 0.750 0.750
3 Al 0.500 0.500 0.500

=====

# 9
LiMgAl2 | GGA-PBEsol | optimized geometry

SG: Pmmm, No. 47
ΔH_f (0 K): -0.057 eV per atom

Cell: 2.867 4.242 5.767 Å, 90.00 90.00 90.00°
Fractional positions:
1 Li 0.000 0.000 0.000
2 Mg 0.000 0.000 0.500
3 Al 0.500 0.500 0.242
4 Al 0.500 0.500 0.758

=====

# 10
LiMgAl | GGA-PBEsol | optimized geometry

SG: P3m1, No. 156
ΔH_f (0 K): -0.057 eV per atom
Distance to the lowest polymorph of the same formula: 0.0 meV/atom

Cell: 4.608 4.608 2.926 Å, 90.00 90.00 120.00°
Fractional positions:
1 Li 0.000 0.000 0.000
2 Mg 0.333 0.667 0.348
3 Al 0.667 0.333 0.755

=====

# 11
LiMgAl2 | GGA-PBEsol | optimized geometry

SG: P4mm, No. 99
ΔH_f (0 K): -0.023 eV per atom

Cell: 2.879 2.879 8.665 Å, 90.00 90.00 90.00°
Fractional positions:
1 Li 0.000 0.000 0.000
2 Mg 0.500 0.500 0.727
3 Al 0.000 0.000 0.467
4 Al 0.500 0.500 0.236

=====

# 12
LiMgAl | GGA-PBEsol | optimized geometry

SG: Imm2, No. 44
ΔH_f (0 K): -0.046 eV per atom
Distance to the lowest polymorph of the same formula: 10.5 meV/atom

Cell: 5.032 5.032 5.032 Å, 145.58 130.09 62.03°
Fractional positions:
1 Li 0.000 0.000 0.000
2 Mg 0.673 0.673 0.000
3 Al 0.338 0.338 0.000

=====

# 13
Li2MgAl | GGA-PBEsol | optimized geometry

SG: Immm, No. 71
ΔH_f (0 K): -0.073 eV per atom

Cell: 5.413 5.413 5.413 Å, 143.56 129.79 63.61°
Fractional positions:
1 Li 0.240 0.240 0.000
2 Li 0.760 0.760 0.000
3 Mg 0.500 0.000 0.500
4 Al 0.000 0.500 0.500

=====

# 14
Li2MgAl | GGA-PBEsol | optimized geometry

SG: P4/mmm, No. 123
ΔH_f (0 K): -0.081 eV per atom

Cell: 3.205 3.205 6.666 Å, 90.00 90.00 90.00°
Fractional positions:
1 Li 0.000 0.000 0.229
2 Li 0.000 0.000 0.771
3 Mg 0.500 0.500 0.500
4 Al 0.500 0.500 0.000

=====

# 15
LiMgAl2 | GGA-PBEsol | optimized geometry

SG: R-3m, No. 166
ΔH_f (0 K): 0.005 eV per atom

Cell: 9.535 9.535 9.535 Å, 17.80 17.80 17.80°
Fractional positions:
1 Li 0.000 0.000 0.000
2 Mg 0.500 0.500 0.500
3 Al 0.253 0.253 0.253
4 Al 0.747 0.747 0.747

=====

# 16
LiMgAl2 | GGA-PBEsol | optimized geometry

SG: R3m, No. 160
ΔH_f (0 K): -0.006 eV per atom

Cell: 9.553 9.553 9.553 Å, 17.87 17.87 17.87°
Fractional positions:
1 Li 0.000 0.000 0.000
2 Mg 0.244 0.244 0.244
3 Al 0.491 0.491 0.491
4 Al 0.745 0.745 0.745

=====

# 17
Li2MgAl | GGA-PBEsol | optimized geometry

SG: R-3m, No. 166
ΔH_f (0 K): -0.030 eV per atom

Cell: 9.778 9.778 9.778 Å, 17.39 17.39 17.39°
Fractional positions:
1 Li 0.246 0.246 0.246
2 Li 0.754 0.754 0.754
3 Mg 0.000 0.000 0.000
4 Al 0.500 0.500 0.500

=====

# 18
Li2MgAl | GGA-PBEsol | optimized geometry

SG: P2/m, No. 10
ΔH_f (0 K): -0.064 eV per atom

Cell: 2.844 4.648 5.483 Å, 90.00 100.29 90.00°
Fractional positions:
1 Li 0.236 0.000 0.231
2 Li 0.764 0.000 0.769
3 Mg 0.000 0.500 0.500
4 Al 0.500 0.500 0.000

=====

# 19
LiMgAl2 | GGA-PBEsol | optimized geometry

SG: Cm, No. 8
ΔH_f (0 K): -0.027 eV per atom

Cell: 4.972 4.972 5.180 Å, 98.57 98.57 34.00°
Fractional positions:
1 Li 0.000 0.000 0.000
2 Mg 0.759 0.759 0.251
3 Al 0.252 0.252 0.750
4 Al 0.512 0.512 0.521

=====

# 20
Li2MgAl | GGA-PBEsol | optimized geometry

SG: Pmmm, No. 47
ΔH_f (0 K): -0.058 eV per atom

Cell: 3.380 4.580 4.627 Å, 90.00 90.00 90.00°
Fractional positions:
1 Li 0.000 0.000 0.000
2 Li 0.500 0.500 0.000
3 Mg 0.000 0.500 0.500
4 Al 0.500 0.000 0.500

=====

# 21
LiMgAl | GGA-PBEsol | optimized geometry

SG: I4mm, No. 107
ΔH_f (0 K): -0.047 eV per atom
Distance to the lowest polymorph of the same formula: 9.9 meV/atom

Cell: 6.566 6.566 6.566 Å, 153.90 153.90 37.24°
Fractional positions:
1 Li 0.000 0.000 0.000
2 Mg 0.682 0.682 0.000
3 Al 0.350 0.350 0.000

=====

# 22
Li2MgAl | GGA-PBEsol | optimized geometry

SG: Imm2, No. 44
ΔH_f (0 K): -0.089 eV per atom

Cell: 5.307 5.307 5.307 Å, 143.65 128.46 64.69°
Fractional positions:
1 Li 0.000 0.000 0.000
2 Li 0.761 0.261 0.500
3 Mg 0.505 0.505 0.000
4 Al 0.240 0.740 0.500

=====

# 23
LiMgAl2 | GGA-PBEsol | optimized geometry

SG: P4mm, No. 99
ΔH_f (0 K): -0.012 eV per atom

Cell: 3.438 3.438 6.022 Å, 90.00 90.00 90.00°
Fractional positions:
1 Li 0.000 0.000 0.000
2 Mg 0.500 0.500 0.264
3 Al 0.000 0.000 0.533
4 Al 0.500 0.500 0.763

=====

# 24
Li2MgAl | GGA-PBEsol | optimized geometry

SG: Pmm2, No. 25
ΔH_f (0 K): -0.059 eV per atom

Cell: 2.850 4.354 5.818 Å, 90.00 90.00 90.00°
Fractional positions:
1 Li 0.000 0.000 0.000
2 Li 0.500 0.500 0.257
3 Mg 0.000 0.000 0.517
4 Al 0.500 0.500 0.768

=====

# 25
LiMgAl2 | GGA-PBEsol | optimized geometry

SG: I4/mmm, No. 139
ΔH_f (0 K): -0.068 eV per atom

Cell: 5.149 5.149 5.149 Å, 133.83 133.83 67.35°
Fractional positions:
1 Li 0.000 0.000 0.000
2 Mg 0.500 0.500 0.000
3 Al 0.250 0.750 0.500
4 Al 0.750 0.250 0.500

=====

# 26
Li2MgAl | GGA-PBEsol | optimized geometry

SG: Pm, No. 6
ΔH_f (0 K): -0.081 eV per atom

Cell: 2.841 4.485 5.661 Å, 90.00 103.04 90.00°
Fractional positions:
1 Li 0.000 0.000 0.000
2 Li 0.030 0.500 0.754
3 Mg 0.677 0.500 0.258
4 Al 0.350 0.000 0.529

=====

# 27
LiMgAlMo3O12 | GGA-PBEsol | optimized geometry

SG: P-1, No. 2
Raw total energy: -8.178 eV/atom

Cell: 6.650 6.805 11.328 Å, 77.69 86.43 77.59°
Fractional positions:
1 Li 0.174 0.438 0.085
2 Li 0.826 0.562 0.915
3 Mg 0.203 0.841 0.477
4 Mg 0.797 0.159 0.523
5 Al 0.191 0.233 0.872
6 Al 0.809 0.767 0.128
7 Mo 0.229 0.310 0.553
8 Mo 0.251 0.907 0.145
9 Mo 0.294 0.714 0.816
10 Mo 0.706 0.286 0.184
11 Mo 0.749 0.093 0.855
12 Mo 0.771 0.690 0.447
13 O 0.105 0.731 0.113
14 O 0.114 0.134 0.498
15 O 0.160 0.512 0.895
16 O 0.170 0.318 0.707
17 O 0.182 0.556 0.458
18 O 0.190 0.949 0.288
19 O 0.201 0.153 0.043
20 O 0.207 0.952 0.863
21 O 0.260 0.752 0.662
22 O 0.446 0.364 0.157
23 O 0.484 0.198 0.864
24 O 0.490 0.213 0.546
25 O 0.510 0.787 0.454
26 O 0.516 0.802 0.136
27 O 0.554 0.636 0.843
28 O 0.740 0.248 0.338
29 O 0.793 0.048 0.137
30 O 0.799 0.847 0.957
31 O 0.810 0.051 0.712
32 O 0.818 0.444 0.542
33 O 0.830 0.682 0.293
34 O 0.840 0.488 0.105
35 O 0.886 0.866 0.502
36 O 0.895 0.269 0.887

=====

# 28
LiMgAl2N | GGA-PBEsol | optimized geometry

SG: P4/mmm, No. 123
Raw total energy: -3.238 eV/atom

Cell: 5.284 5.284 3.751 Å, 90.00 90.00 90.00°
Fractional positions:
1 Li 0.000 0.000 0.000
2 Mg 0.500 0.500 0.500
3 Al 0.000 0.500 0.500
4 Al 0.500 0.000 0.500
5 N 0.500 0.500 0.000

=====

# 29
LiMgAlSb2 | GGA-PBEsol | optimized geometry

SG: P4/mmm, No. 123
Raw total energy: -3.065 eV/atom

Cell: 5.287 5.287 4.774 Å, 90.00 90.00 90.00°
Fractional positions:
1 Li 0.000 0.000 0.000
2 Mg 0.500 0.500 0.000
3 Al 0.000 0.000 0.500
4 Sb 0.000 0.500 0.500
5 Sb 0.500 0.000 0.500

=====

| no. | total magnetization (μB per atom) |
| --- | --- |
| 1 | 0.000 |
| 2 | 0.000 |
| 3 | 0.000 |
| 4 | 0.000 |
| 5 | 0.000 |
| 6 | 0.000 |
| 7 | 0.000 |
| 8 | 0.000 |
| 9 | 0.000 |
| 10 | 0.000 |
| 11 | 0.000 |
| 12 | 0.000 |
| 13 | 0.000 |
| 14 | 0.000 |
| 15 | 0.000 |
| 16 | 0.000 |
| 17 | 0.000 |
| 18 | 0.000 |
| 19 | 0.000 |
| 20 | 0.000 |
| 21 | 0.000 |
| 22 | 0.000 |
| 23 | 0.000 |
| 24 | 0.000 |
| 25 | 0.000 |
| 26 | 0.000 |
| 27 | 0.000 |
| 28 | 0.000 |
| 29 | 0.000 |